Entry 1:
The following is a PBE calculation of crystalline LiNiPt at its relaxed geometry, from Alexandria via LeMat-Bulk.

abc: 15.5894 4.5692 6.9467
angles: 90.00 108.73 90.00
With the nearest neighbours (Å) after each atom.
Space group Cc (No. 9)
One atom of each set of equivalent atoms:
Li 0.0000 0.1664 0.0000  1 Li 2.57, 6 Ni 2.60-2.70, 5 Pt 2.63-2.69
Li 0.2809 0.3245 0.9486  4 Ni 2.60-2.70, 3 Li 2.62-2.64, 5 Pt 2.64-2.68
Li 0.3345 0.1757 0.3335  4 Pt 2.53-2.70, 4 Li 2.57-2.64, 4 Ni 2.67-2.73
Ni 0.0550 0.3374 0.3929  3 Ni 2.54-2.61, 6 Pt 2.56-2.70, 3 Li 2.62-2.70
Ni 0.2185 0.1799 0.5550  1 Ni 2.54, 6 Pt 2.59-2.66, 5 Li 2.66-2.72
Ni 0.4495 0.1685 0.1086  4 Pt 2.52-2.77, 2 Ni 2.56-2.61, 6 Li 2.60-2.73
Pt 0.1105 0.1668 0.7796  6 Ni 2.52-2.67, 3 Li 2.63-2.65, 3 Pt 2.64-2.71
Pt 0.1705 0.3281 0.1753  4 Li 2.53-2.68, 5 Ni 2.59-2.70, 3 Pt 2.64-2.71
Pt 0.3893 0.3085 0.7215  5 Ni 2.56-2.77, 7 Li 2.58-2.70

D(E_F) = 41.3 states/eV per cell
Energy relative to the elements = -0.235 eV/atom
Energy above the lowest structure with this stoichiometry = 0.000 eV per formula unit



Entry 2:
The following is a PBE calculation of crystalline Ce2Cd16Sb at its relaxed geometry, from Alexandria via LeMat-Bulk.

abc: 10.3061 10.3061 14.6469
angles: 90.00 90.00 120.00
With the nearest neighbours (Å) after each atom.
Space group R3m (No. 160, hexagonal axes)
One atom of each set of equivalent atoms:
Ce 0.0000 0.0000 0.0000  16 Cd 3.45-3.83
Ce 0.0000 0.0000 0.3372  1 Sb 3.23, 6 Cd 3.52
Cd 0.0000 0.0000 0.7645  6 Cd 3.00-3.34, 1 Sb 3.03
Cd 0.0142 0.5071 0.8219  8 Cd 2.85-3.12
Cd 0.0192 0.3511 0.3336  8 Cd 2.94-3.27
Cd 0.1755 0.3510 0.5019  9 Cd 2.94-3.12, 1 Sb 3.24
Cd 0.1754 0.3508 0.8439  8 Cd 2.85-3.08
Sb 0.0000 0.0000 0.5576  7 Cd 3.03-3.26, 1 Ce 3.23

D(E_F) = 59.6 states/eV per cell
Energy relative to the elements, uncorrected = -0.1185 eV per atom



Entry 3:
The following is a PBE calculation of crystalline LaSb4Pd6 at its relaxed geometry, from Alexandria via LeMat-Bulk.

abc: 6.9909 6.9909 9.7705
angles: 90.00 90.00 90.00
With the nearest neighbours (Å) after each atom.
Space group I-42m (No. 121)
One atom of each set of equivalent atoms:
La 0.0000 0.0000 0.0000  4 Sb 3.22, 8 Pd 3.50-3.58
Sb 0.2151 0.2151 0.3413  4 Pd 2.59-2.71
Pd 0.0000 0.5000 0.0000  4 Pd 2.86, 4 Sb 2.94
Pd 0.1549 0.1549 0.6115  4 Sb 2.59-2.71, 2 Pd 2.86

D(E_F) = 12.1 states/eV per cell
Energy relative to the elements, uncorrected = -0.5541 eV per atom